VASP calculation (PBE) on crystalline NdTm2UO8 at its relaxed geometry.

Cell: 3.882 5.280 7.612 Å, 90.00 90.00 90.00°
Space group Pmmm (No. 47)
Unique sites:
Nd: 0.000 0.000 0.000 (multiplicity 1)
Tm: 0.500 0.500 0.261 (multiplicity 2)
U: 0.000 0.000 0.500 (multiplicity 1)
O: 0.000 0.246 0.276 (multiplicity 4)
O: 0.500 0.236 0.500 (multiplicity 2)
O: 0.500 0.274 0.000 (multiplicity 2)

Summary:
Raw total energy (eV per atom): -8.66
E_form (uncorrected) (eV per atom): -3.270
V (A^3/atom): 13.00
Mass density (g/cm³): 9.03